A relaxed Mg2BrO crystal. Source: Alexandria via LeMat-Bulk, functional PBE.

Geometry as POSCAR:
```
Mg2BrO
1.0
5.7104 0.0000 0.0000
0.0000 5.7104 0.0000
2.8552 2.8552 5.0733
Mg O Br
4 2 2
direct
0.4997 0.1250 0.2500 Mg
0.2503 0.6250 0.2500 Mg
0.3750 0.5003 0.7500 Mg
0.8750 0.7497 0.7500 Mg
0.5000 0.5000 0.0000 O
0.2500 0.7500 0.5000 O
0.0000 0.0000 0.0000 Br
0.7500 0.2500 0.5000 Br
```

Output
formation energy from raw total energies	-1.50	eV per atom
magnetization	0.00	μB/cell

A relaxed ReMo crystal. Source: Alexandria via LeMat-Bulk, functional PBE.

Geometry as POSCAR:
```
ReMo
1.0
-3.5376 3.2924 2.4555
0.3500 -2.2382 3.5053
2.0800 1.6189 0.8260
Re Mo
2 2
direct
0.0000 0.5000 0.0000 Re
0.5000 0.5000 0.0000 Re
0.2500 0.0000 0.3837 Mo
0.7500 0.0000 0.6163 Mo
```

Output
energy of formation	0.20	eV per atom
magnetization	0.00	μB/cell

A relaxed Zn3Se crystal. Source: Alexandria via LeMat-Bulk, functional PBE.

Geometry as POSCAR:
```
Zn3Se
1.0
5.2034 0.0000 -0.0086
0.0000 4.5524 0.0000
-0.9895 0.0000 6.6489
Zn Se
6 2
direct
0.3801 0.2500 0.5038 Zn
0.6199 0.7500 0.4962 Zn
0.8751 0.2500 0.5740 Zn
0.1249 0.7500 0.4260 Zn
0.9952 0.2500 0.1910 Zn
0.0048 0.7500 0.8090 Zn
0.2458 0.2500 0.8881 Se
0.7542 0.7500 0.1119 Se
```

Output
formation energy from raw total energies	-0.15	eV per atom
magnetization	0.00	μB/cell

A relaxed TaCuN3 crystal. Source: Alexandria via LeMat-Bulk, functional PBE.

Geometry as POSCAR:
```
TaCuN3
1.0
-0.1849 -2.3712 -3.2597
0.8484 -3.2129 2.2890
-3.9405 -0.5805 0.6458
N Cu Ta
3 1 1
direct
0.0000 0.5000 0.0000 N
0.0000 0.0000 0.5000 N
0.5000 0.0000 0.0000 N
0.5000 0.5000 0.5000 Cu
0.0000 0.0000 0.0000 Ta
```

Output
formation energy from raw total energies	0.78	eV per atom
magnetization	0.00	μB/cell

A relaxed FeSi2IBr crystal. Source: Alexandria via LeMat-Bulk, functional PBE.

Geometry as POSCAR:
```
FeSi2IBr
1.0
-1.8620 -0.2530 5.0560
-4.1256 -0.4097 -1.5399
0.5564 -5.3648 -0.0635
I Si Fe Br
1 2 1 1
direct
0.5000 0.5000 0.5000 I
0.0000 0.0000 0.5000 Si
0.5000 0.0000 0.0000 Si
0.0000 0.5000 0.0000 Fe
0.0000 0.0000 0.0000 Br
```

Output
formation energy from raw total energies	1.32	eV per atom
magnetization	1.87	μB/cell

A relaxed Mg2ReRh crystal. Source: Alexandria via LeMat-Bulk, functional PBE.

Geometry as POSCAR:
```
Mg2ReRh
1.0
4.5833 0.0000 0.0000
0.0000 2.7579 -0.2464
0.0000 0.4771 5.0464
Mg Re Rh
2 1 1
direct
0.0000 0.1200 0.9778 Mg
0.5000 0.1300 0.2758 Mg
0.0000 0.6243 0.4980 Re
0.5000 0.6256 0.7484 Rh
```

Output
energy of formation	0.08	eV per atom
magnetization	0.00	μB/cell

A relaxed LaNd5Dy3 crystal. Source: Alexandria via LeMat-Bulk, functional PBE.

Geometry as POSCAR:
```
LaNd5Dy3
1.0
9.5348 -0.1629 1.6808
2.4535 9.2152 1.6808
5.7054 4.3081 9.4638
La Nd Dy
2 10 6
direct
0.1690 0.1690 0.5815 La
0.8310 0.8310 0.4185 La
0.8506 0.3493 0.2601 Nd
0.2547 0.7453 0.0000 Nd
0.8259 0.8259 0.9464 Nd
0.4989 0.4989 0.2300 Nd
0.5011 0.5011 0.7700 Nd
0.1741 0.1741 0.0536 Nd
0.3493 0.8506 0.2601 Nd
0.7453 0.2547 0.0000 Nd
0.1494 0.6507 0.7399 Nd
0.6507 0.1494 0.7399 Nd
0.6828 0.6828 0.8226 Dy
0.6616 0.6616 0.3513 Dy
0.0000 0.0000 0.0000 Dy
0.0000 0.0000 0.5000 Dy
0.3172 0.3172 0.1774 Dy
0.3384 0.3384 0.6487 Dy
```

Output
energy of formation	0.45	eV per atom
magnetization	0.00	μB/cell

A relaxed Ca2PmIn2 crystal. Source: Alexandria via LeMat-Bulk, functional PBE.

Geometry as POSCAR:
```
Ca2PmIn2
1.0
-0.6108 0.6193 5.3007
2.9971 -6.0594 1.0533
14.6542 7.3916 0.8252
Ca Pm In
8 4 8
direct
0.7500 0.3116 0.7686 Ca
0.2500 0.1884 0.2686 Ca
0.2500 0.6884 0.2314 Ca
0.7500 0.8116 0.7314 Ca
0.7500 0.9703 0.1446 Ca
0.2500 0.5297 0.6446 Ca
0.2500 0.0297 0.8554 Ca
0.7500 0.4703 0.3554 Ca
0.7500 0.1498 0.5481 Pm
0.2500 0.3502 0.0481 Pm
0.2500 0.8502 0.4519 Pm
0.7500 0.6498 0.9519 Pm
0.7500 0.6361 0.5435 In
0.2500 0.8639 0.0435 In
0.2500 0.3639 0.4565 In
0.7500 0.1361 0.9565 In
0.7500 0.9498 0.3446 In
0.2500 0.5502 0.8446 In
0.2500 0.0502 0.6554 In
0.7500 0.4498 0.1554 In
```

Output
energy of formation	-0.40	eV per atom
magnetization	0.00	μB/cell

A relaxed Dy6AlTe5 crystal. Source: Alexandria via LeMat-Bulk, functional PBE.

Geometry as POSCAR:
```
Dy6AlTe5
1.0
-1.5046 5.3727 -5.0618
4.8962 -5.4675 -1.6982
-6.4336 -3.9121 -0.3650
Te Al Dy
5 1 6
direct
0.8253 0.1747 0.5000 Te
0.6645 0.3355 0.0000 Te
0.5000 0.5000 0.5000 Te
0.3355 0.6645 0.0000 Te
0.1747 0.8253 0.5000 Te
0.0000 0.0000 0.0000 Al
0.3909 0.0773 0.2353 Dy
0.9227 0.6091 0.7647 Dy
0.2298 0.2298 0.7592 Dy
0.7702 0.7702 0.2408 Dy
0.0773 0.3909 0.2353 Dy
0.6091 0.9227 0.7647 Dy
```

Output
formation energy from raw total energies	-1.17	eV per atom
magnetization	0.00	μB/cell

A relaxed ErSc2Pt crystal. Source: Alexandria via LeMat-Bulk, functional PBE.

Geometry as POSCAR:
```
ErSc2Pt
1.0
-2.0981 -0.7658 2.5380
-1.3997 -2.4288 -1.8899
5.2974 -5.2321 2.8005
Sc Pt Er
2 1 1
direct
0.0000 0.0000 0.8044 Sc
0.0000 0.0000 0.1956 Sc
0.5000 0.5000 0.0000 Pt
0.5000 0.5000 0.5000 Er
```

Output
energy of formation	-0.59	eV per atom
magnetization	0.01	μB/cell

A relaxed PmHo2TmSe4 crystal. Source: Alexandria via LeMat-Bulk, functional PBE.

Geometry as POSCAR:
```
PmHo2TmSe4
1.0
-2.5274 -0.6492 -3.0615
0.3833 -6.9299 1.1529
-5.1521 -1.8528 4.6461
Pm Ho Tm Se
1 2 1 4
direct
0.5000 0.5000 0.0000 Pm
0.0000 0.0000 0.0000 Ho
0.5000 0.0000 0.5000 Ho
0.0000 0.5000 0.5000 Tm
0.0000 0.7572 0.7398 Se
0.0000 0.2428 0.2602 Se
0.5000 0.7512 0.2573 Se
0.5000 0.2488 0.7427 Se
```

Output
formation energy from raw total energies	-1.73	eV per atom
magnetization	0.00	μB/cell

A relaxed Dy2Y3TmSb6 crystal. Source: Alexandria via LeMat-Bulk, functional PBE.

Geometry as POSCAR:
```
Dy2Y3TmSb6
1.0
7.5878 -0.0012 0.0011
-3.7931 6.5717 0.0011
-1.2649 -2.1902 7.1498
Dy Y Tm Sb
2 3 1 6
direct
0.3337 0.6663 0.0000 Dy
0.6663 0.3337 0.0000 Dy
0.1676 0.8324 0.5000 Y
0.8324 0.1676 0.5000 Y
0.5000 0.5000 0.5000 Y
0.0000 0.0000 0.0000 Tm
0.9175 0.5860 0.7521 Sb
0.7517 0.7517 0.2489 Sb
0.0825 0.4140 0.2479 Sb
0.5860 0.9175 0.7521 Sb
0.2483 0.2483 0.7511 Sb
0.4140 0.0825 0.2479 Sb
```

Output
formation energy from raw total energies	-1.14	eV per atom
magnetization	0.00	μB/cell

A relaxed Tb3Pr2Er6Pb crystal. Source: Alexandria via LeMat-Bulk, functional PBE.

Geometry as POSCAR:
```
Tb3Pr2Er6Pb
1.0
6.0974 -0.0019 0.0084
-3.0488 5.2804 0.0084
-1.0350 -1.7920 11.5453
Tb Pr Er Pb
3 2 6 1
direct
0.1673 0.8327 0.5000 Tb
0.8327 0.1673 0.5000 Tb
0.5000 0.5000 0.5000 Tb
0.3336 0.6664 0.0000 Pr
0.6664 0.3336 0.0000 Pr
0.9165 0.5894 0.7490 Er
0.7571 0.7571 0.2517 Er
0.0835 0.4106 0.2510 Er
0.5894 0.9165 0.7490 Er
0.2429 0.2429 0.7483 Er
0.4106 0.0835 0.2510 Er
0.0000 0.0000 0.0000 Pb
```

Output
energy of formation	-0.07	eV per atom
magnetization	0.00	μB/cell

A relaxed SmScTl crystal. Source: Alexandria via LeMat-Bulk, functional PBE.

Geometry as POSCAR:
```
SmScTl
1.0
3.6030 0.0000 0.0000
0.0000 3.6030 0.0000
-1.8015 -1.8015 13.1289
Sm Sc Tl
2 2 2
direct
0.5679 0.5679 0.1358 Sm
0.4321 0.4321 0.8642 Sm
0.2861 0.2861 0.5721 Sc
0.7139 0.7139 0.4279 Sc
0.1475 0.1475 0.2950 Tl
0.8525 0.8525 0.7050 Tl
```

Output
energy of formation	-0.10	eV per atom
magnetization	2.36	μB/cell

A relaxed LaAlGaPd crystal. Source: Alexandria via LeMat-Bulk, functional PBE.

Geometry as POSCAR:
```
LaAlGaPd
1.0
4.3032 0.0000 0.0000
2.1516 3.7267 0.0000
2.1516 1.2422 5.4592
La Al Ga Pd
1 1 1 1
direct
0.8055 0.8055 0.5836 La
0.5998 0.5998 0.2005 Al
0.0187 0.0187 0.9439 Ga
0.3018 0.3018 0.0945 Pd
```

Output
energy of formation	-0.73	eV per atom
magnetization	0.00	μB/cell

A relaxed Rb2PuAuS4 crystal. Source: Alexandria via LeMat-Bulk, functional PBE.

Geometry as POSCAR:
```
Rb2PuAuS4
1.0
6.8206 0.2104 0.3223
-2.7159 6.2601 -0.3223
-2.7159 -2.8143 5.6011
Rb Pu Au S
2 1 1 4
direct
0.5000 0.7500 0.2500 Rb
0.0000 0.0000 0.0000 Rb
0.5000 0.2500 0.7500 Pu
0.0000 0.5000 0.5000 Au
0.5795 0.3038 0.4113 S
0.1074 0.2756 0.6962 S
0.8926 0.5887 0.1682 S
0.4205 0.8318 0.7244 S
```

Output
formation energy from raw total energies	-0.83	eV per atom
magnetization	5.03	μB/cell

A relaxed In3GaGe crystal. Source: Alexandria via LeMat-Bulk, functional PBE.

Geometry as POSCAR:
```
In3GaGe
1.0
5.2811 0.0000 0.0000
0.0000 5.2811 0.0000
0.0000 0.0000 5.2811
Ge Ga In
1 1 3
direct
0.5000 0.5000 0.5000 Ge
0.0000 0.0000 0.0000 Ga
0.0000 0.5000 0.0000 In
0.0000 0.0000 0.5000 In
0.5000 0.0000 0.0000 In
```

Output
energy of formation	0.48	eV per atom
magnetization	0.00	μB/cell

A relaxed PaH2PdO6 crystal. Source: Alexandria via LeMat-Bulk, functional PBE.

Geometry as POSCAR:
```
PaH2PdO6
1.0
4.7437 0.1282 -0.1447
-2.2315 4.9001 0.2570
-2.5647 -1.5164 4.6979
Pa H Pd O
1 2 1 6
direct
0.9966 0.4978 0.4803 Pa
0.6519 0.8648 0.2209 H
0.3412 0.1307 0.7396 H
0.9966 0.9978 0.9803 Pd
0.4951 0.9297 0.6781 O
0.4980 0.0658 0.2824 O
0.7774 0.7677 0.1833 O
0.0952 0.3432 0.2164 O
0.8979 0.6524 0.7441 O
0.2157 0.2278 0.7772 O
```

Output
electronic total energy	-6.6014	eV/atom
magnetization	1.01	μB/cell

A relaxed FePIr2 crystal. Source: Alexandria via LeMat-Bulk, functional PBE.

Geometry as POSCAR:
```
FePIr2
1.0
-3.4557 -2.5274 0.0398
-2.2089 -2.6837 -2.5001
2.1095 -4.1670 1.2920
Fe Ir P
1 2 1
direct
0.2500 0.2500 0.2500 Fe
0.0019 0.0019 0.9922 Ir
0.4981 0.4981 0.5078 Ir
0.7500 0.7500 0.7500 P
```

Output
energy of formation	0.02	eV per atom
magnetization	3.22	μB/cell

A relaxed ZnH2F6 crystal. Source: Alexandria via LeMat-Bulk, functional PBE.

Geometry as POSCAR:
```
ZnH2F6
1.0
0.6703 -5.8055 0.8512
3.2610 2.2646 4.5451
-5.2778 1.0148 2.7452
Zn H F
2 4 12
direct
0.2500 0.9186 0.0814 Zn
0.7500 0.0814 0.9186 Zn
0.2119 0.4235 0.0428 H
0.2881 0.9572 0.5765 H
0.7881 0.5765 0.9572 H
0.7119 0.0428 0.4235 H
0.4364 0.3835 0.4758 F
0.0636 0.5242 0.6165 F
0.5636 0.6165 0.5242 F
0.9364 0.4758 0.3835 F
0.7973 0.0417 0.5911 F
0.7027 0.4089 0.9583 F
0.2027 0.9583 0.4089 F
0.2973 0.5911 0.0417 F
0.1084 0.2082 0.0322 F
0.3916 0.9678 0.7918 F
0.8916 0.7918 0.9678 F
0.6084 0.0322 0.2082 F
```

Output
electronic total energy	-3.5958	eV/atom
magnetization	0.00	μB/cell

A relaxed ZnCd3Pd crystal. Source: Alexandria via LeMat-Bulk, functional PBE.

Geometry as POSCAR:
```
ZnCd3Pd
1.0
4.9424 0.0000 0.0000
0.0000 4.9424 0.0000
0.0000 0.0000 4.9424
Zn Pd Cd
1 1 3
direct
0.0000 0.0000 0.0000 Zn
0.5000 0.5000 0.5000 Pd
0.0000 0.5000 0.0000 Cd
0.0000 0.0000 0.5000 Cd
0.5000 0.0000 0.0000 Cd
```

Output
energy of formation	0.44	eV per atom
magnetization	0.00	μB/cell

A relaxed PtRh3Cl crystal. Source: Alexandria via LeMat-Bulk, functional PBE.

Geometry as POSCAR:
```
PtRh3Cl
1.0
-1.8822 3.2980 3.0461
-2.8611 -3.4265 1.9420
3.4597 -1.0395 3.2631
Rh Pt Cl
3 1 1
direct
0.0000 0.5000 0.0000 Rh
0.0000 0.0000 0.5000 Rh
0.5000 0.0000 0.0000 Rh
0.0000 0.0000 0.0000 Pt
0.5000 0.5000 0.5000 Cl
```

Output
formation energy from raw total energies	1.44	eV per atom
magnetization	4.12	μB/cell

A relaxed BeHg2O crystal. Source: Alexandria via LeMat-Bulk, functional PBE.

Geometry as POSCAR:
```
BeHg2O
1.0
0.0000 3.1536 3.1536
3.1536 0.0000 3.1536
3.1536 3.1536 0.0000
Be Hg O
1 2 1
direct
0.0000 0.0000 0.0000 Be
0.2500 0.2500 0.2500 Hg
0.7500 0.7500 0.7500 Hg
0.5000 0.5000 0.5000 O
```

Output
formation energy from raw total energies	0.58	eV per atom
magnetization	0.00	μB/cell

A relaxed BaVIr3 crystal. Source: Alexandria via LeMat-Bulk, functional PBE.

Geometry as POSCAR:
```
BaVIr3
1.0
-4.0327 2.0980 -2.2000
-2.9261 -1.6877 3.7543
0.8245 4.2726 2.5632
Ir Ba V
3 1 1
direct
0.0000 0.5000 0.0000 Ir
0.0000 0.0000 0.5000 Ir
0.5000 0.0000 0.0000 Ir
0.0000 0.0000 0.0000 Ba
0.5000 0.5000 0.5000 V
```

Output
energy of formation	2.86	eV per atom
magnetization	2.06	μB/cell